(1)
KLaAuSe3 | PBE-GGA | relaxed

## Properties
- M_tot: 0.506 Bohr magnetons per cell
- E_tot: -4.44 eV/atom
- Crystal system: orthorhombic

```
12
Lattice="2.147 -7.501 0.000 2.147 7.501 0.000 0.000 0.000 11.234" Properties=species:S:1:pos:R:3 pbc="T T T"
Au 2.147 7.045 2.808
Au 2.147 -7.045 8.425
K 2.147 -3.714 2.808
K 2.147 3.714 8.425
La 2.147 0.000 0.000
La 2.147 0.000 5.617
Se 2.147 5.494 0.721
Se 2.147 1.147 2.808
Se 2.147 5.494 4.896
Se 2.147 -5.494 6.338
Se 2.147 -1.147 8.425
Se 2.147 -5.494 10.513
```

(2)
Zr4GeSN2 | PBE-GGA | relaxed

## Properties
- M_tot: 0.002 Bohr magnetons per cell
- E_tot: -8.83 eV/atom
- Crystal system: hexagonal

```
8
Lattice="3.356 0.000 0.000 -1.678 2.906 0.000 0.000 0.000 12.743" Properties=species:S:1:pos:R:3 pbc="T T T"
Ge 0.000 0.000 0.000
N 0.000 1.937 3.309
N 0.000 1.937 9.435
S 1.678 0.969 6.372
Zr 1.678 0.969 2.109
Zr 0.000 0.000 4.545
Zr 0.000 0.000 8.198
Zr 1.678 0.969 10.634
```

(3)
LuTaN2O | PBE-GGA | relaxed

## Properties
- M_tot: 0.006 Bohr magnetons per cell
- E_tot: -9.58 eV/atom
- Crystal system: triclinic

```
40
Lattice="-4.907 6.044 -0.068 -4.544 -3.145 5.530 4.267 3.544 5.530" Properties=species:S:1:pos:R:3 pbc="T T T"
Lu -5.773 0.693 6.778
Lu -3.608 6.602 1.346
Lu -3.482 2.073 4.157
Lu -5.937 5.230 4.049
Lu 0.521 1.053 7.225
Lu -1.931 4.209 7.114
Lu 2.738 2.826 4.397
Lu 0.357 5.593 4.495
N -3.077 -0.313 3.213
N -5.470 0.978 4.295
N -3.303 4.406 0.451
N -3.820 -0.552 6.063
N -1.654 2.164 2.678
N -1.684 5.634 2.514
N 0.855 0.870 3.641
N -1.478 1.158 5.349
N -3.939 5.126 5.922
N -6.268 5.415 7.632
N 0.815 3.796 3.230
N -3.759 4.120 8.593
N -1.596 6.834 5.212
N 2.431 5.023 5.290
N 0.056 5.307 6.980
N -2.339 6.601 8.063
O -0.690 -0.434 1.645
O -6.423 3.606 5.402
O -4.063 4.039 3.359
O -3.930 2.272 6.321
O -1.485 4.010 4.951
O -1.351 2.246 7.913
O 1.008 2.677 5.872
O 0.183 0.673 9.693
Ta -2.494 0.754 1.519
Ta -4.679 -0.869 4.295
Ta -0.366 2.358 4.159
Ta -2.642 0.715 7.035
Ta -2.773 5.568 4.240
Ta -5.048 3.925 7.114
Ta -0.737 7.153 6.980
Ta -2.920 5.530 9.754
```

> E_tot of number 1 (KLaAuSe3)?

-4.44 eV/atom